No. 1
A plane-wave DFT calculation with SCAN was carried out for a PBEsol-optimized structure of Mg3Pb.

Calculated values
For the density of states at the Fermi level, the calculation gives 3.1 states/eV/cell. Its crystal system is orthorhombic. The value obtained for the electronic total energy is -22.802 eV per atom. Its symmetry is Pmmn, No. 59. The value obtained for the formation energy is -0.1267 eV per atom.

Cell lengths 5.313, 5.639, 6.321 Å; angles 90.00, 90.00, 90.00 degrees
Positions (direct):
Mg 0.500 0.335 0.000
Mg 0.000 0.162 0.749
Mg 0.500 0.838 0.751
Mg 0.000 0.665 0.500
Mg 0.000 0.162 0.251
Mg 0.500 0.838 0.249
Pb 0.000 0.666 0.000
Pb 0.500 0.334 0.500

=====

No. 2
A plane-wave DFT calculation with SCAN was carried out for a PBEsol-optimized structure of Mg5Pb.

Calculated values
For the density of states at the Fermi level, the calculation gives 2.5 states/eV/cell. Its crystal system is trigonal. The value obtained for the electronic total energy is -16.856 eV per atom. Its symmetry is R32, No. 155. For the excess energy over the best structure of this formula in the dataset, the calculation gives 0.10 eV per formula unit. The value obtained for the formation energy is -0.0814 eV per atom.

Cell lengths 5.540, 5.540, 6.163 Å; angles 63.29, 63.29, 60.00 degrees
Positions (direct):
Pb 0.500 0.500 0.500
Mg 0.000 0.330 0.000
Mg 0.330 0.670 0.000
Mg 0.670 0.000 0.000
Mg 0.168 0.168 0.496
Mg 0.832 0.832 0.504

=====

No. 3
A plane-wave DFT calculation with SCAN was carried out for a PBEsol-optimized structure of MgPb.

Calculated values
For the density of states at the Fermi level, the calculation gives 1.6 states/eV/cell. Its crystal system is monoclinic. The value obtained for the electronic total energy is -40.523 eV per atom. Its symmetry is C2/m, No. 12. The value obtained for the formation energy is -0.1461 eV per atom.

Cell lengths 3.469, 5.374, 5.946 Å; angles 105.82, 106.96, 90.00 degrees
Positions (direct):
Pb 0.120 0.303 0.240
Pb 0.880 0.697 0.760
Mg 0.628 0.814 0.257
Mg 0.372 0.186 0.743

=====

No. 4
A plane-wave DFT calculation with SCAN was carried out for a PBEsol-optimized structure of Mg2Pb.

Calculated values
For the density of states at the Fermi level, the calculation gives 2.6 states/eV/cell. Its crystal system is monoclinic. The value obtained for the electronic total energy is -28.674 eV per atom. Its symmetry is Cm, No. 8. The value obtained for the formation energy is -0.0978 eV per atom.

Cell lengths 3.372, 6.148, 7.570 Å; angles 101.58, 90.00, 105.92 degrees
Positions (direct):
Pb 0.958 0.916 0.403
Pb 0.265 0.531 0.040
Mg 0.992 0.984 0.999
Mg 0.332 0.665 0.664
Mg 0.675 0.351 0.336
Mg 0.610 0.220 0.725

=====

No. 5
A plane-wave DFT calculation with SCAN was carried out for a PBEsol-optimized structure of Mg2Pb3.

Calculated values
For the density of states at the Fermi level, the calculation gives 1.9 states/eV/cell. Its crystal system is trigonal. The value obtained for the electronic total energy is -47.597 eV per atom. Its symmetry is P-3m1, No. 164. For the excess energy over the best structure of this formula in the dataset, the calculation gives 0.00 eV per formula unit. The value obtained for the formation energy is -0.1389 eV per atom.

Cell lengths 5.055, 5.055, 6.285 Å; angles 90.00, 90.00, 120.00 degrees
Positions (direct):
Pb 0.000 0.000 0.000
Pb 0.333 0.667 0.356
Pb 0.667 0.333 0.644
Mg 0.333 0.667 0.847
Mg 0.667 0.333 0.153

=====

No. 6
A plane-wave DFT calculation with SCAN was carried out for a PBEsol-optimized structure of MgPb.

Calculated values
For the density of states at the Fermi level, the calculation gives 1.7 states/eV/cell. Its crystal system is orthorhombic. The value obtained for the electronic total energy is -40.526 eV per atom. Its symmetry is Pmma, No. 51. The value obtained for the formation energy is -0.1487 eV per atom.

Cell lengths 3.543, 5.337, 5.337 Å; angles 90.00, 90.00, 90.00 degrees
Positions (direct):
Pb 0.000 0.232 0.750
Pb 0.000 0.768 0.250
Mg 0.500 0.730 0.750
Mg 0.500 0.270 0.250

=====

No. 7
A plane-wave DFT calculation with SCAN was carried out for a PBEsol-optimized structure of Mg3Pb.

Calculated values
For the density of states at the Fermi level, the calculation gives 1.4 states/eV/cell. Its crystal system is trigonal. The value obtained for the electronic total energy is -22.715 eV per atom. Its symmetry is R-3m, No. 166. The value obtained for the formation energy is -0.0394 eV per atom.

Cell lengths 3.359, 3.359, 10.197 Å; angles 80.52, 80.52, 60.00 degrees
Positions (direct):
Pb 0.000 0.000 0.000
Mg 0.751 0.751 0.746
Mg 0.500 0.500 0.500
Mg 0.249 0.249 0.254

=====

No. 8
A plane-wave DFT calculation with SCAN was carried out for a PBEsol-optimized structure of Mg3Pb2.

Calculated values
For the density of states at the Fermi level, the calculation gives 1.7 states/eV/cell. Its crystal system is trigonal. The value obtained for the electronic total energy is -33.399 eV per atom. Its symmetry is R-3m, No. 166. The value obtained for the formation energy is -0.1024 eV per atom.

Cell lengths 3.446, 3.446, 12.443 Å; angles 82.04, 82.04, 60.00 degrees
Positions (direct):
Pb 0.600 0.600 0.199
Pb 0.400 0.400 0.801
Mg 0.000 0.000 0.000
Mg 0.200 0.200 0.401
Mg 0.800 0.800 0.599

=====

Results for density: 4.9 3.9 7.6 5.8 8.0 7.6 4.8 6.4 (in Mg/m³, following the order of the records).